Computed, not measured: an optimized crystal structure of ZrSN at the PBE level of DFT.

abc: 6.6460 6.6460 4.8273
angles: 104.64 104.64 29.89
Fractional coordinates of all 6 atoms:
Zr: 0.0000 0.0000 0.0000
Zr: 0.6818 0.6818 0.5496
S: 0.3240 0.3240 0.8699
S: 0.4584 0.4584 0.4103
N: 0.1477 0.1477 0.2968
N: 0.5518 0.5518 0.7576

size of the total moment	0.0	μB/f.u.
formation energy without anion corrections	-1.07	eV per atom
VASP energy	-48.42	eV per cell
crystal system	monoclinic
E above lowest polymorph	0.154	eV/atom